An optimized crystal structure of VGe2F. Source: Alexandria via LeMat-Bulk, functional PBE+U.

Output
Its distance to the lowest polymorph of the same formula is 353 meV per atom.

a = 4.530 Å, b = 4.530 Å, c = 4.530 Å
α = 60.00°, β = 60.00°, γ = 60.00°
Last column: magnetic moment on the atom in μB.
Fractional coordinates of all 4 atoms:
F 0.000 0.000 0.000  0.01
Ge 0.250 0.250 0.250  -0.04
Ge 0.750 0.750 0.750  -0.04
V 0.500 0.500 0.500  2.33

***

An optimized crystal structure of VGe3F. Source: Alexandria via LeMat-Bulk, functional PBE+U.

Output
Its distance to the lowest polymorph of the same formula is 0 meV per atom.

a = 4.501 Å, b = 4.501 Å, c = 4.501 Å
α = 90.00°, β = 90.00°, γ = 90.00°
Last column: magnetic moment on the atom in μB.
Fractional coordinates of all 5 atoms:
Ge 0.000 0.500 0.000  -0.05
V 0.500 0.500 0.500  2.69
F 0.000 0.000 0.000  -0.01
Ge 0.000 0.000 0.500  -0.05
Ge 0.500 0.000 0.000  -0.05

***

An optimized crystal structure of VGeF4. Source: Alexandria via LeMat-Bulk, functional PBE+U.

Output
The calculation puts the calculated total energy at -5.53 eV/atom.

a = 5.491 Å, b = 5.787 Å, c = 5.633 Å
α = 90.00°, β = 90.00°, γ = 90.00°
Last column: magnetic moment on the atom in μB.
Fractional coordinates of all 12 atoms:
F 0.353 0.163 0.225  0.00
F 0.708 0.371 0.500  0.00
Ge 0.522 0.411 0.000  0.01
F 0.853 0.837 0.725  0.00
F 0.849 0.242 0.000  0.01
F 0.349 0.758 0.500  0.01
Ge 0.022 0.589 0.500  0.01
V 0.589 0.029 0.500  2.76
V 0.089 0.971 0.000  2.76
F 0.353 0.163 0.775  0.00
F 0.208 0.629 0.000  0.00
F 0.853 0.837 0.275  0.00

***

An optimized crystal structure of V2GeF. Source: Alexandria via LeMat-Bulk, functional PBE+U.

Output
Its distance to the lowest polymorph of the same formula is 0 meV per atom.

a = 4.754 Å, b = 4.754 Å, c = 7.427 Å
α = 71.34°, β = 71.34°, γ = 90.00°
Last column: magnetic moment on the atom in μB.
Fractional coordinates of all 8 atoms:
V 0.207 0.625 0.250  2.64
V 0.543 0.125 0.250  2.64
Ge 0.000 0.000 0.000  -0.29
V 0.375 0.457 0.750  2.64
F 0.250 0.750 0.500  0.00
V 0.875 0.793 0.750  2.64
F 0.500 0.500 0.000  0.00
Ge 0.750 0.250 0.500  -0.29

***

An optimized crystal structure of V2GeF. Source: Alexandria via LeMat-Bulk, functional PBE+U.

Output
Its distance to the lowest polymorph of the same formula is 260 meV per atom.

a = 4.261 Å, b = 4.261 Å, c = 4.261 Å
α = 60.00°, β = 60.00°, γ = 60.00°
Last column: magnetic moment on the atom in μB.
Fractional coordinates of all 4 atoms:
F 0.000 0.000 0.000  0.01
Ge 0.500 0.500 0.500  -0.05
V 0.750 0.750 0.750  0.40
V 0.250 0.250 0.250  0.40

***

An optimized crystal structure of VGeF2. Source: Alexandria via LeMat-Bulk, functional PBE+U.

Output
Its distance to the lowest polymorph of the same formula is 639 meV per atom.

a = 3.859 Å, b = 3.859 Å, c = 8.181 Å
α = 76.36°, β = 76.36°, γ = 90.00°
Last column: magnetic moment on the atom in μB.
Fractional coordinates of all 8 atoms:
Ge 0.000 0.000 0.000  0.03
F 0.142 0.625 0.250  0.04
F 0.608 0.125 0.250  0.04
V 0.500 0.500 0.000  2.58
Ge 0.750 0.250 0.500  0.03
V 0.250 0.750 0.500  2.58
F 0.375 0.392 0.750  0.04
F 0.875 0.858 0.750  0.04